1.
LiScCuSi | PBE | relaxed

The structure in POSCAR format:
```
LiScCuSi
1.0
6.227 0.000 0.000
0.000 6.227 0.000
0.000 0.000 6.227
Li Sc Cu Si
4 4 4 4
direct
0.000 0.000 0.000
0.000 0.500 0.500
0.500 0.000 0.500
0.500 0.500 0.000
0.000 0.000 0.500
0.000 0.500 0.000
0.500 0.000 0.000
0.500 0.500 0.500
0.250 0.250 0.750
0.250 0.750 0.250
0.750 0.250 0.250
0.750 0.750 0.750
0.250 0.250 0.250
0.250 0.750 0.750
0.750 0.250 0.750
0.750 0.750 0.250
```

Its total energy is -75.0 eV for the cell shown.

***

2.
LiScCuSi | PBE | relaxed

The structure in POSCAR format:
```
LiScCuSi
1.0
6.061 0.000 0.000
0.000 6.061 0.000
0.000 0.000 6.061
Li Sc Cu Si
4 4 4 4
direct
0.000 0.000 0.000
0.000 0.500 0.500
0.500 0.000 0.500
0.500 0.500 0.000
0.250 0.250 0.750
0.250 0.750 0.250
0.750 0.250 0.250
0.750 0.750 0.750
0.000 0.000 0.500
0.000 0.500 0.000
0.500 0.000 0.000
0.500 0.500 0.500
0.250 0.250 0.250
0.250 0.750 0.750
0.750 0.250 0.750
0.750 0.750 0.250
```

Its total energy is -74.9 eV for the cell shown.

***

It is found that the magnetization values, taken in the order of the records, are 0.0, 0.0 μB per formula unit.